Computed, not measured: a relaxed structure of Dy2Er4LuNi2Te2 at the PBE-GGA level of DFT.

a = 9.275 Å, b = 9.275 Å, c = 9.275 Å
α = 156.19°, β = 67.07°, γ = 118.34°
Sites, in units of the cell vectors:
1 Te 0.338 0.338 0.000
2 Te 0.735 0.235 0.500
3 Ni 0.834 0.070 0.764
4 Ni 0.305 0.070 0.236
5 Er 0.692 0.377 0.315
6 Er 0.062 0.377 0.685
7 Er 0.083 0.729 0.354
8 Er 0.375 0.729 0.646
9 Dy 0.448 0.582 0.866
10 Dy 0.716 0.582 0.134
11 Lu 0.001 0.001 0.000

Calculated values
Uncorrected energy (eV/cell): -56.77
Space group: Imm2
Spin magnetization (μB/atom): 0.000